This record from Alexandria describes a relaxed structure of ErPu2Ru3. The functional is PBE.

The structure in POSCAR format:
```
ErPu2Ru3
1.0
-0.1815 -3.0221 1.4623
1.8942 1.1169 2.5434
-8.4370 2.9255 4.9988
Ru Pu Er
3 2 1
Cartesian
0.0000 0.0000 0.0000 Ru
-5.6960 1.9751 3.3748 Ru
-2.7411 0.9505 1.6240 Ru
-0.5504 -0.4648 2.8363 Pu
-6.1739 1.4851 6.1682 Pu
-3.3622 0.5102 4.5023 Er
```

Energy relative to the elements = -241 meV/atom
Density of states at the Fermi level = 13.09 states/eV/f.u.
Size of the total moment = 1.41 μB per atom
Symmetry = P4/mmm
V = 115.7 Å³/f.u.

This record from Alexandria describes a relaxed structure of SmPuSi2. The functional is PBE.

The structure in POSCAR format:
```
SmPuSi2
1.0
-1.9979 -3.7205 0.9472
1.4573 -1.5921 -3.1796
5.3570 0.2358 2.3372
Sm Pu Si
1 1 2
Cartesian
3.8757 -2.4737 3.0150 Sm
2.0836 -2.3304 -0.2005 Pu
2.9917 0.0879 1.3272 Si
4.9432 -1.1633 0.5257 Si
```

Energy relative to the elements, uncorrected = -0.583 eV/atom
Density of states at the Fermi level = 9.87 states/eV/f.u.
Size of the total moment = 1.56 μB per atom
Symmetry = Amm2
V = 90.4 Å³/f.u.

This record from Alexandria describes a relaxed structure of CoSbRu2. The functional is PBE.

The structure in POSCAR format:
```
CoSbRu2
1.0
4.5608 -0.0088 -0.0023
3.6252 2.7673 -0.0023
0.9388 0.3164 4.6981
Ru Co Sb
2 1 1
Cartesian
4.5827 1.5443 2.2187 Ru
8.1657 2.7517 0.1234 Ru
2.2812 0.7687 1.1734 Co
6.8436 2.3061 3.5201 Sb
```

Energy relative to the elements, uncorrected = 0.206 eV/atom
Density of states at the Fermi level = 4.33 states/eV/f.u.
Size of the total moment = 0.26 μB per atom
Symmetry = C2/m
V = 59.5 Å³/f.u.

This record from Alexandria describes a relaxed structure of TbCeTm2In4. The functional is PBE.

The structure in POSCAR format:
```
TbCeTm2In4
1.0
5.3231 0.0000 0.0000
2.6615 4.6099 0.0000
2.6615 1.5366 8.7409
Tm Tb Ce In
2 1 1 4
Cartesian
7.9846 4.6099 6.5619 Tm
2.6615 1.5366 2.1790 Tm
0.0000 0.0000 0.0000 Tb
5.3231 3.0733 4.3705 Ce
7.9846 4.6099 3.2437 In
5.3231 3.0733 1.0627 In
2.6615 1.5366 5.4973 In
5.3231 3.0733 7.6782 In
```

Energy relative to the elements = -416 meV/atom
Density of states at the Fermi level = 8.79 states/eV/f.u.
Size of the total moment = 0.12 μB per atom
Symmetry = R-3m
V = 214.5 Å³/f.u.